(1)
Compound: Ba3Ca4Sn4
Source: Alexandria
Functional: PBE
Structure: relaxed

Structure (CIF):
```
data_Ba3Ca4Sn4
_chemical_formula_sum 'Ba6 Ca8 Sn8'
_symmetry_space_group_name_H-M 'I m m m'
_symmetry_Int_Tables_number 71
_symmetry_space_group_name_Hall '-I 2 2'
_cell_length_a 5.3515
_cell_length_b 8.4716
_cell_length_c 17.9324
_cell_angle_alpha 90.00
_cell_angle_beta 90.00
_cell_angle_gamma 90.00
loop_
_atom_site_label
_atom_site_fract_x
_atom_site_fract_y
_atom_site_fract_z
Ba1 0.0000 0.0000 0.0000
Ba2 0.0000 0.5000 0.1111
Ca1 0.0000 0.2910 0.3258
Sn1 0.0000 0.0000 0.2107
Sn2 0.0000 0.1813 0.5000
```

Output
ΔE_f, eV/f.u.: -7.29
Final energy, hartree per atom: -0.12385



(2)
Compound: TcBr6O2
Source: Alexandria
Functional: PBE
Structure: relaxed

Structure (CIF):
```
data_TcBr6O2
_chemical_formula_sum 'Tc4 Br24 O8'
_symmetry_space_group_name_H-M 'F m -3 m'
_symmetry_Int_Tables_number 225
_symmetry_space_group_name_Hall '-F 4 2 3'
_cell_length_a 9.9580
_cell_length_b 9.9580
_cell_length_c 9.9580
_cell_angle_alpha 90.00
_cell_angle_beta 90.00
_cell_angle_gamma 90.00
loop_
_atom_site_label
_atom_site_fract_x
_atom_site_fract_y
_atom_site_fract_z
Tc1 0.0000 0.0000 0.0000
Br1 0.0000 0.0000 0.2473
O1 0.2500 0.2500 0.2500
```

Output
Final energy, hartree per atom: -0.10454



(3)
Compound: CrRu2S
Source: Alexandria
Functional: PBE
Structure: relaxed

Structure (CIF):
```
data_CrRu2S
_chemical_formula_sum 'Cr4 Ru8 S4'
_symmetry_space_group_name_H-M 'I -4 2 d'
_symmetry_Int_Tables_number 122
_symmetry_space_group_name_Hall 'I -4 2bw'
_cell_length_a 5.2632
_cell_length_b 5.2632
_cell_length_c 10.3502
_cell_angle_alpha 90.00
_cell_angle_beta 90.00
_cell_angle_gamma 90.00
loop_
_atom_site_label
_atom_site_fract_x
_atom_site_fract_y
_atom_site_fract_z
Cr1 0.0000 0.0000 0.0000
Ru1 0.2460 0.2500 0.6250
S1 0.0000 0.0000 0.5000
```

Output
Final energy, hartree per atom: -0.28111



Which formula does entry 2 have?
TcBr6O2



Among the records above, which one has the highest final energy?
TcBr6O2



Repeat the second record exactly.
Compound: TcBr6O2
Source: Alexandria
Functional: PBE
Structure: relaxed

Structure (CIF):
```
data_TcBr6O2
_chemical_formula_sum 'Tc4 Br24 O8'
_symmetry_space_group_name_H-M 'F m -3 m'
_symmetry_Int_Tables_number 225
_symmetry_space_group_name_Hall '-F 4 2 3'
_cell_length_a 9.9580
_cell_length_b 9.9580
_cell_length_c 9.9580
_cell_angle_alpha 90.00
_cell_angle_beta 90.00
_cell_angle_gamma 90.00
loop_
_atom_site_label
_atom_site_fract_x
_atom_site_fract_y
_atom_site_fract_z
Tc1 0.0000 0.0000 0.0000
Br1 0.0000 0.0000 0.2473
O1 0.2500 0.2500 0.2500
```

Output
Final energy, hartree per atom: -0.10454